Computed, not measured: a relaxed structure of Dy3NiSn3Pt2 at the PBE level of DFT.

Output
space group = P-62m, No. 189
total DFT energy (no corrections) = -52.4 eV/cell

Lattice parameters (Å, degrees): 7.5116 7.5116 3.9156 90.00 90.00 120.00
Fractional positions:
1 Dy 0.0000 0.4057 0.0000
2 Dy 0.4057 0.0000 0.0000
3 Dy 0.5943 0.5943 0.0000
4 Ni 0.0000 0.0000 0.0000
5 Sn 0.0000 0.7513 0.5000
6 Sn 0.2487 0.2487 0.5000
7 Sn 0.7513 0.0000 0.5000
8 Pt 0.3333 0.6667 0.5000
9 Pt 0.6667 0.3333 0.5000

***

Computed, not measured: a relaxed structure of Dy2NiSn2Pt3 at the PBE level of DFT.

Output
space group = P3m1, No. 156
total DFT energy (no corrections) = -48.1 eV/cell

Lattice parameters (Å, degrees): 4.5262 4.5262 8.9979 90.00 90.00 120.00
Fractional positions:
1 Dy 0.0000 0.0000 0.0000
2 Dy 0.3333 0.6667 0.4950
3 Ni 0.3333 0.6667 0.1652
4 Sn 0.6667 0.3333 0.2388
5 Sn 0.6667 0.3333 0.7504
6 Pt 0.0000 0.0000 0.3299
7 Pt 0.0000 0.0000 0.6571
8 Pt 0.3333 0.6667 0.8500

***

| no. | calculated density (g/cm3) |
| --- | --- |
| 1 | 11.22 |
| 2 | 12.55 |